# 1
A relaxed structure of ZrMnF3, computed with PBE with a Hubbard U.

E, eV/atom: -5.9127
Calculated volume, A^3/atom: 15.5
Energy relative to the lowest polymorph listed for this composition, meV per atom: 374

Cell: 4.260 4.260 4.260 Å, 90.00 90.00 90.00°
Last column: magnetic moment on the atom in μB.
Fractional coordinates of all 5 atoms:
1 Mn 0.000 0.000 0.000  4.71
2 Zr 0.500 0.500 0.500  1.72
3 F 0.000 0.500 0.000  0.09
4 F 0.000 0.000 0.500  0.05
5 F 0.500 0.000 0.000  0.10



# 2
A relaxed structure of ZrMnF3, computed with PBE with a Hubbard U.

E, eV/atom: -6.2865
Calculated volume, A^3/atom: 17.2
Energy relative to the lowest polymorph listed for this composition, meV per atom: 0

Cell: 4.417 4.417 4.417 Å, 90.00 90.00 90.00°
Last column: magnetic moment on the atom in μB.
Fractional coordinates of all 5 atoms:
1 Mn 0.500 0.500 0.500  4.78
2 Zr 0.000 0.000 0.000  0.86
3 F 0.000 0.500 0.000  0.02
4 F 0.000 0.000 0.500  0.00
5 F 0.500 0.000 0.000  0.01